Record 1
This record from Alexandria via LeMat-Bulk describes a geometry-optimized DyErZnFe structure. The functional is PBE.

Uncorrected energy, eV/atom: -4.812
Total moment, μB/f.u.: 1.176
Crystal system: cubic

a b c (Å): 4.872 4.872 4.872
angles (deg): 60.00 60.00 60.00
Last column: magnetic moment on the atom in μB.
Sites, in units of the cell vectors:
Zn: 0.000 0.000 0.000  -0.02
Dy: 0.750 0.750 0.750  -0.21
Fe: 0.500 0.500 0.500  1.69
Er: 0.250 0.250 0.250  -0.24


Record 2
This record from Alexandria via LeMat-Bulk describes a geometry-optimized Li2AcEu structure. The functional is PBE.

Offset from the most stable computed form, meV per atom: 0
Total moment, μB/f.u.: 7.691
Crystal system: tetragonal

a b c (Å): 3.990 3.990 8.320
angles (deg): 90.00 90.00 90.00
Last column: magnetic moment on the atom in μB.
Sites, in units of the cell vectors:
Eu: 0.500 0.500 0.500  -7.00
Ac: 0.500 0.500 0.000  0.00
Li: 0.000 0.000 0.749  -0.02
Li: 0.000 0.000 0.251  -0.02